(1)
Compound: CeTh
Source: Alexandria via LeMat-Bulk
Functional: PBE
Structure: relaxed

The formation energy comes out at 0.02 eV per atom.

The space group is Pmmn (No. 59, origin choice 2) and the conventional cell measures 3.493, 4.868 and 6.954 Å, with angles of 90.00, 90.00 and 90.00 degrees. The distinct sites, in fractional coordinates, are Ce at (0.250, 0.250, 0.123) and Th at (0.250, 0.250, 0.628).

---

(2)
Compound: Tb2SmAgC
Source: Alexandria via LeMat-Bulk
Functional: PBE
Structure: relaxed

The formation energy comes out at -0.15 eV per atom.

The space group is P4mm (No. 99) and the conventional cell measures 4.861, 4.861 and 5.175 Å, with angles of 90.00, 90.00 and 90.00 degrees. The distinct sites, in fractional coordinates, are Tb at (0.000, 0.500, 0.000), Sm at (0.000, 0.000, 0.497), Ag at (0.500, 0.500, 0.517) and C at (0.000, 0.000, 0.028).

---

(3)
Compound: GdTaC2
Source: Alexandria via LeMat-Bulk
Functional: PBE
Structure: relaxed

The formation energy comes out at -0.43 eV per atom.

The space group is R-3m (No. 166, hexagonal axes) and the conventional cell measures 3.3131, 3.3131 and 16.9716 Å, with angles of 90.00, 90.00 and 120.00 degrees. The distinct sites, in fractional coordinates, are Gd at (0.0000, 0.0000, 0.0000), Ta at (0.0000, 0.0000, 0.5000) and C at (0.0000, 0.0000, 0.2381).

---

(4)
Compound: Pm7CuCl12
Source: Alexandria via LeMat-Bulk
Functional: PBE
Structure: relaxed

The formation energy from raw total energies comes out at -1.84 eV/atom.

The space group is R-3 (No. 148, hexagonal axes) and the conventional cell measures 14.7203, 14.7203 and 9.6053 Å, with angles of 90.00, 90.00 and 120.00 degrees. The distinct sites, in fractional coordinates, are Pm at (0.0000, 0.0000, 0.0000), Pm at (0.0410, 0.1688, 0.3342), Cu at (0.0000, 0.0000, 0.5000), Cl at (0.0301, 0.5828, 0.1618) and Cl at (0.0446, 0.1793, 0.8447).

---

(5)
Compound: Co2AgPdRu
Source: Alexandria via LeMat-Bulk
Functional: PBE
Structure: relaxed

The formation energy comes out at 1.44 eV per atom.

The space group is P4/mmm (No. 123) and the conventional cell measures 4.317, 4.317 and 5.019 Å, with angles of 90.00, 90.00 and 90.00 degrees. The distinct sites, in fractional coordinates, are Co at (0.000, 0.500, 0.000), Ag at (0.000, 0.000, 0.500), Pd at (0.500, 0.500, 0.500) and Ru at (0.000, 0.000, 0.000).

---

(6)
Compound: LiNdAgGe2
Source: Alexandria via LeMat-Bulk
Functional: PBE
Structure: relaxed

The formation energy comes out at -0.55 eV per atom.

The space group is I-4m2 (No. 119) and the conventional cell measures 4.216, 4.216 and 11.209 Å, with angles of 90.00, 90.00 and 90.00 degrees. The distinct sites, in fractional coordinates, are Li at (0.000, 0.000, 0.000), Nd at (0.000, 0.500, 0.250), Ag at (0.000, 0.000, 0.500) and Ge at (0.000, 0.500, 0.640).